(1)
The following is a DFT calculation (PBE+U) of crystalline CsV3O8 at its relaxed geometry.

Calculated values
DOS(E_F)   0.00 states/eV/f.u.
Electronic total energy   -7.111 eV per atom
Energy above the lowest structure with this stoichiometry   48 kJ/mol of formula units
Size of the total moment   0.00 μB/f.u.

Geometry as POSCAR:
```
CsV3O8
1.0
2.668 1.540 8.869
-2.668 1.540 8.869
0.000 -3.080 8.869
Cs V O
1 3 8
Cartesian
0.000 0.000 0.000
0.000 0.000 6.079
0.000 0.000 13.304
0.000 0.000 20.530
-1.502 -0.327 12.210
0.000 0.000 7.740
-0.468 -1.464 14.398
-1.034 1.138 14.398
1.034 -1.138 12.210
0.468 1.464 12.210
0.000 0.000 18.868
1.502 0.327 14.398
```

***

(2)
The following is a DFT calculation (PBE+U) of crystalline Cs2VO4 at its relaxed geometry.

Calculated values
DOS(E_F)   7.33 states/eV/f.u.
Electronic total energy   -5.776 eV per atom
Size of the total moment   1.01 μB/f.u.

Geometry as POSCAR:
```
Cs2VO4
1.0
0.000 6.531 6.682
5.290 0.000 6.682
5.290 6.531 0.000
Cs V O
4 2 8
Cartesian
5.290 3.045 6.682
5.290 6.531 3.340
5.290 6.531 10.025
5.290 10.017 6.682
2.645 3.266 3.341
7.935 9.797 10.024
3.633 2.247 4.356
3.633 4.284 2.327
1.658 2.247 2.327
1.658 4.284 4.356
8.923 8.778 9.009
8.923 10.815 11.038
6.948 8.778 11.038
6.948 10.815 9.009
```

***

(3)
The following is a DFT calculation (PBE+U) of crystalline CsVO2 at its relaxed geometry.

Calculated values
DOS(E_F)   0.49 states/eV/f.u.
Electronic total energy   -4.689 eV per atom
Size of the total moment   2.00 μB/f.u.

Geometry as POSCAR:
```
CsVO2
1.0
0.000 3.138 3.138
3.138 0.000 3.138
3.138 3.138 0.000
Cs V O
1 1 2
Cartesian
0.000 0.000 0.000
3.138 3.138 3.138
1.569 1.569 1.569
4.708 4.708 4.708
```

***

(4)
The following is a DFT calculation (PBE+U) of crystalline CsVWO6 at its relaxed geometry.

Calculated values
DOS(E_F)   0.00 states/eV/f.u.
Electronic total energy   -7.026 eV per atom
Energy above the lowest structure with this stoichiometry   0 kJ/mol of formula units
Size of the total moment   0.00 μB/f.u.

Geometry as POSCAR:
```
CsVWO6
1.0
-3.563 3.686 5.136
3.563 -3.686 5.136
3.563 3.686 -5.136
Cs V W O
2 2 2 12
Cartesian
0.000 1.843 1.198
3.563 1.843 3.937
1.781 1.843 -2.568
1.781 -1.843 2.568
3.563 0.000 0.000
0.000 0.000 5.136
3.563 -1.843 3.104
2.205 -0.508 1.275
4.920 -0.508 1.275
2.205 3.177 -1.275
1.357 -0.508 3.861
3.563 1.843 0.685
0.000 1.843 4.450
2.205 4.194 1.275
1.357 0.508 6.410
-1.357 4.194 3.861
1.357 4.194 3.861
0.000 5.528 2.032
```

***

(5)
The following is a DFT calculation (PBE+U) of crystalline CsVW2O8 at its relaxed geometry.

Calculated values
DOS(E_F)   3.45 states/eV/f.u.
Electronic total energy   -7.192 eV per atom
Size of the total moment   2.00 μB/f.u.

Geometry as POSCAR:
```
CsVW2O8
1.0
5.847 0.000 0.000
-2.924 5.064 0.000
0.000 0.000 8.302
Cs V W O
1 1 2 8
Cartesian
0.000 0.000 0.000
0.000 0.000 4.151
0.000 3.376 5.888
2.924 1.688 2.414
-0.009 1.639 5.324
-1.499 4.252 5.324
1.415 0.827 2.978
0.000 3.376 7.668
2.924 1.688 0.634
1.508 4.237 5.324
4.423 0.812 2.978
2.932 3.424 2.978
```

***

(6)
The following is a DFT calculation (PBE+U) of crystalline Cs2VW3O12 at its relaxed geometry.

Calculated values
DOS(E_F)   6.61 states/eV/f.u.
Electronic total energy   -7.079 eV per atom
Size of the total moment   1.00 μB/f.u.

Geometry as POSCAR:
```
Cs2VW3O12
1.0
3.700 2.136 5.946
-3.700 2.136 5.946
0.000 -4.272 5.946
Cs V W O
2 1 3 12
Cartesian
0.000 0.000 2.313
0.000 0.000 15.524
0.000 0.000 8.919
-1.850 -1.068 5.946
-1.850 1.068 11.892
0.000 2.136 5.946
0.000 -1.588 5.535
-1.376 0.794 5.535
-1.357 -0.784 7.764
0.000 -1.567 10.074
-1.357 0.784 10.074
-1.376 -0.794 12.302
1.376 0.794 5.535
1.357 -0.784 7.764
0.000 1.567 7.764
1.357 0.784 10.074
1.376 -0.794 12.302
0.000 1.588 12.302
```

***

(7)
The following is a DFT calculation (PBE+U) of crystalline CsVWO6 at its relaxed geometry.

Calculated values
DOS(E_F)   0.00 states/eV/f.u.
Electronic total energy   -6.998 eV per atom
Energy above the lowest structure with this stoichiometry   24 kJ/mol of formula units
Size of the total moment   0.00 μB/f.u.

Geometry as POSCAR:
```
CsVWO6
1.0
5.212 0.000 0.000
-2.606 4.513 0.000
0.000 0.000 6.756
Cs V W O
1 1 1 6
Cartesian
0.000 0.000 0.000
0.000 3.009 3.118
2.606 1.504 3.582
-1.544 2.695 2.261
-0.997 1.804 4.475
-0.545 4.475 4.475
1.044 1.829 2.261
0.500 4.503 2.261
1.542 2.748 4.475
```

***

(8)
The following is a DFT calculation (PBE+U) of crystalline CsV2Zn2O7 at its relaxed geometry.

Calculated values
DOS(E_F)   6.69 states/eV/f.u.
Electronic total energy   -6.097 eV per atom
Size of the total moment   1.00 μB/f.u.

Geometry as POSCAR:
```
CsV2Zn2O7
1.0
2.976 1.718 8.563
-2.976 1.718 8.563
0.000 -3.436 8.563
Cs V Zn O
1 2 2 7
Cartesian
0.000 0.000 0.000
0.000 0.000 11.045
0.000 0.000 14.644
0.000 0.000 6.520
0.000 0.000 19.169
-1.181 -1.170 10.456
-0.422 -1.608 15.233
-0.422 1.608 10.456
0.000 0.000 12.844
-1.181 1.170 15.233
1.604 -0.438 10.456
1.604 0.438 15.233
```

***

(9)
The following is a DFT calculation (PBE+U) of crystalline CsZrV2O8 at its relaxed geometry.

Calculated values
DOS(E_F)   8.84 states/eV/f.u.
Electronic total energy   -7.484 eV per atom
Size of the total moment   1.10 μB/f.u.

Geometry as POSCAR:
```
CsZrV2O8
1.0
5.823 0.000 0.000
-2.911 5.043 0.000
0.000 0.000 8.432
Cs Zr V O
1 1 2 8
Cartesian
0.000 0.000 0.000
0.000 0.000 4.216
0.000 3.362 6.024
2.911 1.681 2.408
-0.009 1.694 5.457
-1.440 4.203 5.457
0.000 3.362 7.698
1.463 0.855 2.975
1.449 4.188 5.457
2.911 1.681 0.735
4.351 0.839 2.975
2.920 3.349 2.975
```

***

(10)
The following is a DFT calculation (PBE+U) of crystalline CsWO4 at its relaxed geometry.

Calculated values
Electronic total energy   -6.289 eV per atom
Size of the total moment   1.02 μB/f.u.

Geometry as POSCAR:
```
CsWO4
1.0
6.935 -3.564 0.000
6.935 3.564 0.000
-1.837 0.000 5.151
Cs W O
2 2 8
Cartesian
1.422 0.000 1.658
10.613 0.000 3.493
5.555 0.000 0.790
6.479 0.000 4.361
5.081 1.392 1.967
2.380 0.000 4.782
6.935 1.221 0.000
6.953 1.392 3.185
5.081 -1.392 1.967
6.935 -1.221 0.000
9.655 0.000 0.369
6.953 -1.392 3.185
```

***

(11)
The following is a DFT calculation (PBE+U) of crystalline Cs3WO4 at its relaxed geometry.

Calculated values
Electronic total energy   -5.470 eV per atom
Energy above the lowest structure with this stoichiometry   0 kJ/mol of formula units
Size of the total moment   1.00 μB/f.u.

Geometry as POSCAR:
```
Cs3WO4
1.0
-3.392 4.757 3.434
3.392 -4.757 3.434
3.392 4.757 -3.434
Cs W O
3 1 4
Cartesian
0.000 0.000 0.000
3.392 2.515 -0.139
0.000 2.242 3.295
3.392 0.000 3.118
1.672 4.757 -1.187
1.720 0.000 2.247
0.000 3.046 0.491
0.000 6.467 0.491
```

***

(12)
The following is a DFT calculation (PBE+U) of crystalline Cs2WO4 at its relaxed geometry.

Calculated values
DOS(E_F)   0.00 states/eV/f.u.
Electronic total energy   -6.164 eV per atom
Energy above the lowest structure with this stoichiometry   0 kJ/mol of formula units
Size of the total moment   0.15 μB/f.u.

Geometry as POSCAR:
```
Cs2WO4
1.0
8.754 0.000 0.000
0.000 6.884 0.000
0.000 0.000 11.774
Cs W O
8 4 16
Cartesian
0.113 1.721 2.515
1.576 1.721 6.726
2.802 5.163 0.840
4.264 5.163 8.402
4.490 1.721 3.372
5.953 1.721 10.934
7.179 5.163 5.047
8.642 5.163 9.259
1.891 1.721 10.728
2.486 5.163 4.841
6.269 1.721 6.932
6.863 5.163 1.045
0.120 1.721 11.135
1.510 5.163 6.381
2.090 3.675 3.867
2.090 6.651 3.867
2.287 0.233 9.754
2.287 3.209 9.754
2.868 1.721 0.495
4.258 5.163 5.248
4.497 1.721 6.526
5.887 5.163 11.279
6.467 3.675 2.019
6.467 6.651 2.019
6.664 0.233 7.906
6.664 3.209 7.906
7.245 1.721 5.392
8.635 5.163 0.639
```

***

> Which value of size of the total moment does entry 3 give?

2.00 μB/f.u.

***

> What is the size of the total moment in the sixth record?

1.00 μB/f.u.